No. 1
Er2PuPaAs4 | PBE-GGA | optimized geometry

Output
- Crystal system: monoclinic
- SG: P2/m (10)
- Formation energy from the elements: -1.290 eV/atom

a = 7.0842 Å, b = 4.1065 Å, c = 7.0946 Å
α = 90.00°, β = 109.53°, γ = 90.00°
With the nearest neighbours (Å) after each atom.
Fractional positions:
1 Er 0.0000 0.0000 0.0000  6 As 2.87-2.89
2 Er 0.0000 0.5000 0.5000  6 As 2.90-2.91
3 Pu 0.5000 0.0000 0.5000  6 As 2.91-2.92
4 Pa 0.5000 0.5000 0.0000  6 As 2.88-2.89
5 As 0.2487 0.0000 0.7523  3 Er 2.87-2.90, 2 Pa 2.89, 1 Pu 2.92
6 As 0.2492 0.5000 0.2469  1 Pa 2.88, 3 Er 2.89-2.91, 2 Pu 2.91
7 As 0.7513 0.0000 0.2477  3 Er 2.87-2.90, 2 Pa 2.89, 1 Pu 2.92
8 As 0.7508 0.5000 0.7531  1 Pa 2.88, 3 Er 2.89-2.91, 2 Pu 2.91

No. 2
ErPuPa2As4 | PBE-GGA | optimized geometry

Output
- Crystal system: monoclinic
- SG: P2/m (10)
- Formation energy from the elements: -1.170 eV/atom

a = 7.0785 Å, b = 4.1071 Å, c = 7.1189 Å
α = 90.00°, β = 109.58°, γ = 90.00°
With the nearest neighbours (Å) after each atom.
Fractional positions:
1 Er 0.0000 0.0000 0.0000  6 As 2.90
2 Pu 0.0000 0.5000 0.5000  6 As 2.91-2.92
3 Pa 0.5000 0.0000 0.5000  6 As 2.90
4 Pa 0.5000 0.5000 0.0000  6 As 2.88-2.89
5 As 0.2512 0.5000 0.2482  3 Pa 2.88-2.90, 2 Er 2.90, 1 Pu 2.92
6 As 0.2518 0.0000 0.7525  3 Pa 2.89-2.90, 1 Er 2.90, 2 Pu 2.91
7 As 0.7482 0.0000 0.2475  3 Pa 2.89-2.90, 1 Er 2.90, 2 Pu 2.91
8 As 0.7488 0.5000 0.7518  3 Pa 2.88-2.90, 2 Er 2.90, 1 Pu 2.92

No. 3
ErPu2PaAs4 | PBE-GGA | optimized geometry

Output
- Crystal system: monoclinic
- SG: P2/m (10)
- Formation energy from the elements: -0.984 eV/atom

a = 7.0243 Å, b = 4.1185 Å, c = 7.1106 Å
α = 90.00°, β = 90.04°, γ = 90.00°
With the nearest neighbours (Å) after each atom.
Fractional positions:
1 Er 0.0000 0.0000 0.0000  6 As 2.95-2.97
2 Pu 0.0000 0.5000 0.5000  6 As 2.95-2.97
3 Pu 0.5000 0.0000 0.0000  6 As 2.94-2.96
4 Pa 0.5000 0.5000 0.5000  6 As 2.93-2.96
5 As 0.2488 0.5000 0.1660  2 Er 2.95, 3 Pu 2.95-2.96, 1 Pa 2.96
6 As 0.2541 0.0000 0.6656  2 Pa 2.93, 3 Pu 2.94-2.97, 1 Er 2.97
7 As 0.7459 0.0000 0.3344  2 Pa 2.93, 3 Pu 2.94-2.97, 1 Er 2.97
8 As 0.7512 0.5000 0.8340  2 Er 2.95, 3 Pu 2.95-2.96, 1 Pa 2.96

No. 4
ErPaAs2Rh5 | PBE-GGA | optimized geometry

Output
- Crystal system: tetragonal
- SG: P4/mmm (123)
- Formation energy from the elements: -0.500 eV/atom

a = 3.9718 Å, b = 3.9718 Å, c = 11.5315 Å
α = 90.00°, β = 90.00°, γ = 90.00°
With the nearest neighbours (Å) after each atom.
Fractional positions:
1 Er 0.0000 0.0000 0.0000  4 Rh 2.81
2 Pa 0.5000 0.5000 0.5000  8 Rh 2.75
3 As 0.5000 0.5000 0.2065  5 Rh 2.38-2.48
4 As 0.5000 0.5000 0.7935  5 Rh 2.38-2.48
5 Rh 0.0000 0.5000 0.3356  2 As 2.48, 2 Pa 2.75
6 Rh 0.0000 0.5000 0.6644  2 As 2.48, 2 Pa 2.75
7 Rh 0.5000 0.0000 0.3356  2 As 2.48, 2 Pa 2.75
8 Rh 0.5000 0.0000 0.6644  2 As 2.48, 2 Pa 2.75
9 Rh 0.5000 0.5000 0.0000  2 As 2.38

No. 5
ErScPa2As4 | PBE-GGA | optimized geometry

Output
- Crystal system: monoclinic
- SG: P2/m (10)
- Formation energy from the elements: -1.226 eV/atom

a = 6.9692 Å, b = 4.0491 Å, c = 7.0094 Å
α = 90.00°, β = 109.59°, γ = 90.00°
With the nearest neighbours (Å) after each atom.
Fractional positions:
1 Er 0.0000 0.0000 0.0000  6 As 2.85
2 Sc 0.0000 0.5000 0.5000  6 As 2.80-2.81
3 Pa 0.5000 0.0000 0.5000  6 As 2.86-2.87
4 Pa 0.5000 0.5000 0.0000  6 As 2.91
5 As 0.2403 0.0000 0.7417  2 Sc 2.81, 1 Er 2.85, 3 Pa 2.86-2.91
6 As 0.2437 0.5000 0.2531  1 Sc 2.80, 2 Er 2.85, 3 Pa 2.87-2.91
7 As 0.7563 0.5000 0.7469  1 Sc 2.80, 2 Er 2.85, 3 Pa 2.87-2.91
8 As 0.7597 0.0000 0.2583  2 Sc 2.81, 1 Er 2.85, 3 Pa 2.86-2.91

No. 6
Er2ScPaAs4 | PBE-GGA | optimized geometry

Output
- Crystal system: monoclinic
- SG: P2/m (10)
- Formation energy from the elements: -1.356 eV/atom

a = 6.9601 Å, b = 4.0495 Å, c = 7.0047 Å
α = 90.00°, β = 109.48°, γ = 90.00°
With the nearest neighbours (Å) after each atom.
Fractional positions:
1 Er 0.0000 0.0000 0.0000  6 As 2.85-2.86
2 Er 0.5000 0.5000 0.0000  6 As 2.90
3 Sc 0.0000 0.5000 0.5000  6 As 2.80-2.81
4 Pa 0.5000 0.0000 0.5000  6 As 2.84-2.86
5 As 0.2429 0.0000 0.7411  2 Sc 2.81, 1 Pa 2.84, 3 Er 2.86-2.90
6 As 0.2449 0.5000 0.2532  1 Sc 2.80, 3 Er 2.85-2.90, 2 Pa 2.86
7 As 0.7551 0.5000 0.7468  1 Sc 2.80, 3 Er 2.85-2.90, 2 Pa 2.86
8 As 0.7571 0.0000 0.2589  2 Sc 2.81, 1 Pa 2.84, 3 Er 2.86-2.90

No. 7
ErPaAsSe | PBE-GGA | optimized geometry

Output
- Crystal system: trigonal
- E: -6.8330 eV per atom
- SG: R3m (160)

a = 7.6311 Å, b = 7.6311 Å, c = 7.6311 Å
α = 29.83°, β = 29.83°, γ = 29.83°
With the nearest neighbours (Å) after each atom.
Fractional positions:
1 Er 0.0000 0.0000 0.0000  3 As 2.81, 3 Se 2.98
2 Pa 0.1784 0.1784 0.1784  3 As 2.85, 3 Se 3.00
3 As 0.5910 0.5910 0.5910  3 Er 2.81, 3 Pa 2.85
4 Se 0.7552 0.7552 0.7552  3 Er 2.98, 3 Pa 3.00

No. 8
Sm2ErPaAs4 | PBE-GGA | optimized geometry

Output
- Crystal system: monoclinic
- SG: P2/m (10)
- Formation energy from the elements: -1.414 eV/atom

a = 7.1553 Å, b = 4.1516 Å, c = 7.1955 Å
α = 90.00°, β = 109.44°, γ = 90.00°
With the nearest neighbours (Å) after each atom.
Fractional positions:
1 Sm 0.0000 0.0000 0.0000  6 As 2.97-2.99
2 Sm 0.5000 0.5000 0.0000  6 As 2.96-2.97
3 Er 0.0000 0.5000 0.5000  6 As 2.89-2.90
4 Pa 0.5000 0.0000 0.5000  6 As 2.87-2.89
5 As 0.2489 0.0000 0.7393  1 Pa 2.87, 2 Er 2.90, 3 Sm 2.97-2.99
6 As 0.2540 0.5000 0.2598  2 Pa 2.89, 1 Er 2.89, 3 Sm 2.96-2.97
7 As 0.7460 0.5000 0.7402  2 Pa 2.89, 1 Er 2.89, 3 Sm 2.96-2.97
8 As 0.7511 0.0000 0.2607  1 Pa 2.87, 2 Er 2.90, 3 Sm 2.97-2.99

No. 9
Sm2ErPaAs5 | PBE-GGA | optimized geometry

Output
- Crystal system: tetragonal
- SG: P4/mmm (123)
- Formation energy from the elements: -0.556 eV/atom

a = 5.0785 Å, b = 5.0785 Å, c = 10.8495 Å
α = 90.00°, β = 90.00°, γ = 90.00°
With the nearest neighbours (Å) after each atom.
Fractional positions:
1 Sm 0.0000 0.0000 0.2291  1 As 2.94
2 Sm 0.0000 0.0000 0.7709  1 As 2.94
3 Er 0.5000 0.5000 0.5000  2 As 2.66
4 Pa 0.5000 0.5000 0.0000  6 As 2.54-2.76
5 As 0.0000 0.0000 0.5000  2 Sm 2.94
6 As 0.0000 0.5000 0.0000  2 Pa 2.54
7 As 0.5000 0.0000 0.0000  2 Pa 2.54
8 As 0.5000 0.5000 0.2546  1 Er 2.66, 1 Pa 2.76
9 As 0.5000 0.5000 0.7454  1 Er 2.66, 1 Pa 2.76

No. 10
Sm3Er2PaAs6 | PBE-GGA | optimized geometry

Output
- Crystal system: monoclinic
- SG: C2/m (12)
- Formation energy from the elements: -1.461 eV/atom

a = 7.1701 Å, b = 7.1701 Å, c = 7.1956 Å
α = 99.54°, β = 99.54°, γ = 120.00°
With the nearest neighbours (Å) after each atom.
Fractional positions:
1 Sm 0.0000 0.0000 0.0000  6 As 2.96-2.99
2 Sm 0.3322 0.6678 0.0000  6 As 2.96-2.98
3 Sm 0.6678 0.3322 0.0000  6 As 2.96-2.98
4 Er 0.1664 0.8336 0.5000  6 As 2.90-2.91
5 Er 0.8336 0.1664 0.5000  6 As 2.90-2.91
6 Pa 0.5000 0.5000 0.5000  6 As 2.87
7 As 0.0900 0.4201 0.2599  1 Pa 2.87, 2 Er 2.90-2.91, 3 Sm 2.96-2.98
8 As 0.2501 0.2501 0.7394  1 Pa 2.87, 2 Er 2.90, 3 Sm 2.97-2.99
9 As 0.4201 0.0900 0.2599  1 Pa 2.87, 2 Er 2.90-2.91, 3 Sm 2.96-2.98
10 As 0.5799 0.9100 0.7401  1 Pa 2.87, 2 Er 2.90-2.91, 3 Sm 2.96-2.98
11 As 0.7499 0.7499 0.2606  1 Pa 2.87, 2 Er 2.90, 3 Sm 2.97-2.99
12 As 0.9100 0.5799 0.7401  1 Pa 2.87, 2 Er 2.90-2.91, 3 Sm 2.96-2.98

No. 11
Sr3ErPa3As8 | PBE-GGA | optimized geometry

Output
- Crystal system: trigonal
- SG: R-3m (166)
- Formation energy from the elements: -1.070 eV/atom

a = 8.6455 Å, b = 8.6455 Å, c = 8.6455 Å
α = 58.32°, β = 58.32°, γ = 58.32°
With the nearest neighbours (Å) after each atom.
Fractional positions:
1 Sr 0.0000 0.5000 0.5000  6 As 3.15-3.22
2 Sr 0.5000 0.0000 0.5000  6 As 3.15-3.22
3 Sr 0.5000 0.5000 0.0000  6 As 3.15-3.22
4 Er 0.5000 0.5000 0.5000  6 As 2.94
5 Pa 0.0000 0.0000 0.5000  6 As 2.83-2.90
6 Pa 0.0000 0.5000 0.0000  6 As 2.83-2.90
7 Pa 0.5000 0.0000 0.0000  6 As 2.83-2.90
8 As 0.2264 0.7431 0.7431  2 Pa 2.83, 1 Er 2.94
9 As 0.2400 0.2400 0.2400  3 Pa 2.90, 3 Sr 3.15
10 As 0.2569 0.2569 0.7736  2 Pa 2.83, 1 Er 2.94
11 As 0.2569 0.7736 0.2569  2 Pa 2.83, 1 Er 2.94
12 As 0.7431 0.2264 0.7431  2 Pa 2.83, 1 Er 2.94
13 As 0.7431 0.7431 0.2264  2 Pa 2.83, 1 Er 2.94
14 As 0.7600 0.7600 0.7600  3 Pa 2.90, 3 Sr 3.15
15 As 0.7736 0.2569 0.2569  2 Pa 2.83, 1 Er 2.94

No. 12
SrErPa2As4 | PBE-GGA | optimized geometry

Output
- Crystal system: tetragonal
- SG: I-4m2 (119)
- Formation energy from the elements: -1.149 eV/atom

a = 7.2255 Å, b = 7.2255 Å, c = 7.2255 Å
α = 131.97°, β = 131.97°, γ = 70.27°
With the nearest neighbours (Å) after each atom.
Fractional positions:
1 Sr 0.0000 0.0000 0.0000  6 As 2.94-3.05
2 Er 0.2500 0.7500 0.5000  6 As 2.94-2.98
3 Pa 0.5000 0.5000 0.0000  6 As 2.86-2.94
4 Pa 0.7500 0.2500 0.5000  6 As 2.93-2.94
5 As 0.2584 0.2584 0.0000  3 Pa 2.86-2.94, 2 Er 2.94, 1 Sr 3.05
6 As 0.5023 0.0023 0.5000  3 Pa 2.93-2.94, 2 Sr 2.94, 1 Er 2.98
7 As 0.7416 0.7416 0.0000  3 Pa 2.86-2.94, 2 Er 2.94, 1 Sr 3.05
8 As 0.9977 0.4977 0.5000  3 Pa 2.93-2.94, 2 Sr 2.94, 1 Er 2.98

| no. | DOS at the Fermi energy (states/eV/f.u.) | magnetization (μB per cell) |
| --- | --- | --- |
| 1 | 12.26 | 5.8 |
| 2 | 13.20 | 5.8 |
| 3 | 20.60 | 11.8 |
| 4 | 7.49 | 0.0 |
| 5 | 8.19 | 0.0 |
| 6 | 5.22 | 0.0 |
| 7 | 4.23 | 1.0 |
| 8 | 5.22 | 0.0 |
| 9 | 4.72 | 0.0 |
| 10 | 4.40 | 0.0 |
| 11 | 0.64 | 0.0 |
| 12 | 9.30 | 1.2 |